[1]
Compound: La2Ce2CoSb2
Source: Alexandria
Functional: PBE
Structure: optimized geometry

Results
SG	I4/mmm, No. 139
total DFT energy (no corrections)	-6.112	eV/atom
M_tot	1.5	μB/cell

Lattice parameters (Å, degrees): 4.8444 4.8444 17.6088 90.00 90.00 90.00
Atoms (fractional coordinates):
La: 0.0000 0.0000 0.1727
La: 0.0000 0.0000 0.8273
La: 0.5000 0.5000 0.3273
La: 0.5000 0.5000 0.6727
Ce: 0.0000 0.5000 0.0000
Ce: 0.0000 0.5000 0.5000
Ce: 0.5000 0.0000 0.0000
Ce: 0.5000 0.0000 0.5000
Co: 0.0000 0.0000 0.0000
Co: 0.5000 0.5000 0.5000
Sb: 0.0000 0.0000 0.3631
Sb: 0.0000 0.0000 0.6368
Sb: 0.5000 0.5000 0.1368
Sb: 0.5000 0.5000 0.8632



[2]
Compound: LiCe3Co8
Source: Alexandria
Functional: PBE
Structure: optimized geometry

Results
SG	R3m, No. 160
E_form	-0.164	eV/atom
M_tot	2.0	μB/cell

Lattice parameters (Å, degrees): 8.6355 8.6355 8.6355 33.06 33.06 33.06
Atoms (fractional coordinates):
Li: 0.0000 0.0000 0.0000
Ce: 0.3636 0.3636 0.3636
Ce: 0.4946 0.4946 0.4946
Ce: 0.8811 0.8811 0.8811
Co: 0.1850 0.1850 0.1850
Co: 0.4303 0.9333 0.9333
Co: 0.4370 0.4370 0.9330
Co: 0.4370 0.9330 0.4370
Co: 0.6837 0.6837 0.6837
Co: 0.9333 0.4303 0.9333
Co: 0.9330 0.4370 0.4370
Co: 0.9333 0.9333 0.4303



[3]
Compound: LiCe2Co9
Source: Alexandria
Functional: PBE
Structure: optimized geometry

Results
SG	R-3m, No. 166
E_form	-0.030	eV/atom
M_tot	8.8	μB/cell

Lattice parameters (Å, degrees): 8.6158 8.6158 8.6158 32.79 32.79 32.79
Atoms (fractional coordinates):
Li: 0.0000 0.0000 0.0000
Ce: 0.1344 0.1344 0.1344
Ce: 0.8656 0.8656 0.8656
Co: 0.0797 0.5804 0.5804
Co: 0.3339 0.3339 0.3339
Co: 0.4196 0.4196 0.9203
Co: 0.4196 0.9203 0.4196
Co: 0.5000 0.5000 0.5000
Co: 0.5804 0.0797 0.5804
Co: 0.5804 0.5804 0.0797
Co: 0.6661 0.6661 0.6661
Co: 0.9203 0.4196 0.4196